Density functional theory data (PBE) for an optimized crystal structure of SmHo3Se4.

- ΔE to the lowest computed polymorph (kJ/mol of formula units) = 12
- energy relative to the elements, uncorrected (meV per atom) = -1726
- spin magnetization (Bohr magnetons per cell) = 0.00

Cell: 5.781 5.781 5.781 Å, 90.00 90.00 90.00°
Space group Pm-3m (No. 221)
Symmetry-distinct sites (fractional):
1 Sm 0.000 0.000 0.000 x1
2 Ho 0.000 0.500 0.500 x3
3 Se 0.000 0.000 0.500 x3
4 Se 0.500 0.500 0.500 x1

Density functional theory data (PBE) for an optimized crystal structure of SmHo5Se6.

- energy relative to the elements, uncorrected (meV per atom) = -1739
- spin magnetization (Bohr magnetons per cell) = 0.00

Cell: 7.024 12.249 7.075 Å, 90.00 109.44 90.00°
Space group C2/m (No. 12)
Symmetry-distinct sites (fractional):
1 Sm 0.000 0.000 0.000 x2
2 Ho 0.000 0.161 0.500 x4
3 Ho 0.000 0.334 0.000 x4
4 Ho 0.000 0.500 0.500 x2
5 Se 0.243 0.500 0.251 x4
6 Se 0.245 0.329 0.745 x8

Density functional theory data (PBE) for an optimized crystal structure of Sm6Ho2Se3.

- energy relative to the elements, uncorrected (meV per atom) = -893
- spin magnetization (Bohr magnetons per cell) = 0.09

Cell: 3.8747 3.8747 76.5415 Å, 90.00 90.00 120.00°
Space group R-3m (No. 166, hexagonal axes)
Symmetry-distinct sites (fractional):
1 Sm 0.0000 0.0000 0.0740 x6
2 Sm 0.0000 0.0000 0.1852 x6
3 Sm 0.0000 0.0000 0.3580 x6
4 Ho 0.0000 0.0000 0.4445 x6
5 Se 0.0000 0.0000 0.0000 x3
6 Se 0.0000 0.0000 0.2843 x6

Density functional theory data (PBE) for an optimized crystal structure of Sm4HoSe7.

- energy relative to the elements, uncorrected (meV per atom) = -1878
- spin magnetization (Bohr magnetons per cell) = 0.00

Cell: 13.622 4.040 12.355 Å, 90.00 104.75 90.00°
Space group Cm (No. 8)
Symmetry-distinct sites (fractional):
1 Sm 0.000 0.000 0.000 x2
2 Sm 0.087 0.500 0.385 x2
3 Sm 0.188 0.000 0.767 x2
4 Sm 0.387 0.500 0.574 x2
5 Ho 0.275 0.500 0.153 x2
6 Se 0.048 0.500 0.626 x2
7 Se 0.131 0.500 0.931 x2
8 Se 0.152 0.000 0.224 x2
9 Se 0.226 0.000 0.525 x2
10 Se 0.348 0.500 0.791 x2
11 Se 0.384 0.000 0.078 x2
12 Se 0.426 0.500 0.356 x2

Density functional theory data (PBE) for an optimized crystal structure of Sm2Ho2Se5.

- ΔE to the lowest computed polymorph (kJ/mol of formula units) = 45
- energy relative to the elements, uncorrected (meV per atom) = -1687
- spin magnetization (Bohr magnetons per cell) = 0.00

Cell: 17.565 3.996 7.498 Å, 90.00 93.04 90.00°
Space group C2/m (No. 12)
Symmetry-distinct sites (fractional):
1 Sm 0.029 0.000 0.281 x4
2 Ho 0.158 0.500 0.914 x4
3 Se 0.000 0.500 0.000 x2
4 Se 0.091 0.500 0.572 x4
5 Se 0.188 0.000 0.168 x4

Density functional theory data (PBE) for an optimized crystal structure of Sm4HoSe5.

- energy relative to the elements, uncorrected (meV per atom) = -1795
- spin magnetization (Bohr magnetons per cell) = 0.00

Cell: 4.142 4.142 29.477 Å, 90.00 90.00 90.00°
Space group I4/mmm (No. 139)
Symmetry-distinct sites (fractional):
1 Sm 0.000 0.000 0.102 x4
2 Sm 0.000 0.000 0.304 x4
3 Ho 0.000 0.000 0.500 x2
4 Se 0.000 0.000 0.000 x2
5 Se 0.000 0.000 0.203 x4
6 Se 0.000 0.000 0.404 x4